1.
A plane-wave DFT calculation with PBE-GGA was carried out for crystalline ZrReSe2 at its relaxed geometry.

Computed properties:
Electronic total energy = -7.383 eV per atom

Cell and atoms, written as CIF:
```
data_ZrReSe2
_chemical_formula_sum 'Zr1 Re1 Se2'
_cell_length_a 3.226
_cell_length_b 3.226
_cell_length_c 8.083
_cell_angle_alpha 90.00
_cell_angle_beta 90.00
_cell_angle_gamma 90.00
_space_group_name_H-M_alt 'P 1'
_space_group_IT_number 1
_space_group_name_Hall 'P 1'
loop_
_atom_site_label
_atom_site_type_symbol
_atom_site_fract_x
_atom_site_fract_y
_atom_site_fract_z
Re1 Re 0.500 0.500 0.765
Se1 Se 0.000 0.000 0.911
Se2 Se 0.500 0.500 0.317
Zr1 Zr 0.000 0.000 0.507
```

***

2.
A plane-wave DFT calculation with PBE-GGA was carried out for crystalline La2NdTh2 at its relaxed geometry.

Computed properties:
E_form = 0.12 eV/f.u.

Cell and atoms, written as CIF:
```
data_La2NdTh2
_chemical_formula_sum 'La2 Nd1 Th2'
_cell_length_a 3.633
_cell_length_b 3.633
_cell_length_c 15.143
_cell_angle_alpha 83.11
_cell_angle_beta 83.11
_cell_angle_gamma 60.00
_space_group_name_H-M_alt 'P 1'
_space_group_IT_number 1
_space_group_name_Hall 'P 1'
loop_
_atom_site_label
_atom_site_type_symbol
_atom_site_fract_x
_atom_site_fract_y
_atom_site_fract_z
La1 La 0.403 0.403 0.791
La2 La 0.597 0.597 0.209
Nd1 Nd 0.000 0.000 0.000
Th1 Th 0.802 0.802 0.595
Th2 Th 0.198 0.198 0.405
```

***

3.
A plane-wave DFT calculation with PBE-GGA was carried out for crystalline La6PmAg5 at its relaxed geometry.

Computed properties:
E_form = -1.97 eV/f.u.

Cell and atoms, written as CIF:
```
data_La6PmAg5
_chemical_formula_sum 'La6 Pm1 Ag5'
_cell_length_a 5.435
_cell_length_b 7.759
_cell_length_c 8.678
_cell_angle_alpha 90.00
_cell_angle_beta 108.16
_cell_angle_gamma 90.00
_space_group_name_H-M_alt 'P 1'
_space_group_IT_number 1
_space_group_name_Hall 'P 1'
loop_
_atom_site_label
_atom_site_type_symbol
_atom_site_fract_x
_atom_site_fract_y
_atom_site_fract_z
La1 La 0.825 0.752 0.648
La2 La 0.825 0.248 0.648
La3 La 0.500 0.273 0.000
La4 La 0.500 0.727 0.000
La5 La 0.175 0.752 0.352
La6 La 0.175 0.248 0.352
Ag1 Ag 0.666 0.500 0.334
Ag2 Ag 0.352 0.000 0.703
Ag3 Ag 0.000 0.500 0.000
Ag4 Ag 0.648 0.000 0.297
Ag5 Ag 0.334 0.500 0.666
Pm1 Pm 0.000 0.000 0.000
```

***

4.
A plane-wave DFT calculation with PBE-GGA was carried out for crystalline Al2V2Zn at its relaxed geometry.

Computed properties:
E_form = 0.37 eV/f.u.

Cell and atoms, written as CIF:
```
data_Al2V2Zn
_chemical_formula_sum 'Al4 V4 Zn2'
_cell_length_a 6.776
_cell_length_b 6.776
_cell_length_c 3.292
_cell_angle_alpha 90.00
_cell_angle_beta 90.00
_cell_angle_gamma 90.00
_space_group_name_H-M_alt 'P 1'
_space_group_IT_number 1
_space_group_name_Hall 'P 1'
loop_
_atom_site_label
_atom_site_type_symbol
_atom_site_fract_x
_atom_site_fract_y
_atom_site_fract_z
Zn1 Zn 0.000 0.000 0.000
Zn2 Zn 0.500 0.500 0.000
Al1 Al 0.369 0.869 0.000
Al2 Al 0.869 0.631 0.000
Al3 Al 0.631 0.131 0.000
Al4 Al 0.131 0.369 0.000
V1 V 0.169 0.669 0.500
V2 V 0.669 0.831 0.500
V3 V 0.831 0.331 0.500
V4 V 0.331 0.169 0.500
```

***

5.
A plane-wave DFT calculation with PBE-GGA was carried out for crystalline Ba2SnHg2 at its relaxed geometry.

Computed properties:
E_form = -1.77 eV/f.u.

Cell and atoms, written as CIF:
```
data_Ba2SnHg2
_chemical_formula_sum 'Ba2 Sn1 Hg2'
_cell_length_a 6.652
_cell_length_b 6.652
_cell_length_c 6.477
_cell_angle_alpha 59.10
_cell_angle_beta 59.10
_cell_angle_gamma 90.00
_space_group_name_H-M_alt 'P 1'
_space_group_IT_number 1
_space_group_name_Hall 'P 1'
loop_
_atom_site_label
_atom_site_type_symbol
_atom_site_fract_x
_atom_site_fract_y
_atom_site_fract_z
Hg1 Hg 0.342 0.342 0.315
Hg2 Hg 0.658 0.658 0.685
Sn1 Sn 0.000 0.000 0.000
Ba1 Ba 0.750 0.250 0.500
Ba2 Ba 0.250 0.750 0.500
```

***

6.
A plane-wave DFT calculation with PBE-GGA was carried out for crystalline La3NpPd12 at its relaxed geometry.

Computed properties:
E_form = -11.43 eV/f.u.

Cell and atoms, written as CIF:
```
data_La3NpPd12
_chemical_formula_sum 'La3 Np1 Pd12'
_cell_length_a 4.210
_cell_length_b 4.210
_cell_length_c 16.802
_cell_angle_alpha 90.00
_cell_angle_beta 90.00
_cell_angle_gamma 90.00
_space_group_name_H-M_alt 'P 1'
_space_group_IT_number 1
_space_group_name_Hall 'P 1'
loop_
_atom_site_label
_atom_site_type_symbol
_atom_site_fract_x
_atom_site_fract_y
_atom_site_fract_z
La1 La 0.000 0.000 0.249
La2 La 0.000 0.000 0.500
La3 La 0.000 0.000 0.751
Np1 Np 0.000 0.000 0.000
Pd1 Pd 0.500 0.500 0.000
Pd2 Pd 0.500 0.500 0.246
Pd3 Pd 0.500 0.500 0.500
Pd4 Pd 0.500 0.500 0.754
Pd5 Pd 0.500 0.000 0.118
Pd6 Pd 0.500 0.000 0.373
Pd7 Pd 0.500 0.000 0.627
Pd8 Pd 0.500 0.000 0.882
Pd9 Pd 0.000 0.500 0.118
Pd10 Pd 0.000 0.500 0.373
Pd11 Pd 0.000 0.500 0.627
Pd12 Pd 0.000 0.500 0.882
```

***

| no. | total magnetic moment (μB/cell) |
| --- | --- |
| 1 | 0.000 |
| 2 | 0.000 |
| 3 | 0.006 |
| 4 | 5.665 |
| 5 | 0.000 |
| 6 | 2.963 |